Entry from Alexandria: a PBEsol-optimized structure of BeCo5 (meta-GGA SCAN).

Output
offset from the most stable computed form: 2.62 eV per formula unit
calculated density: 7.331 g/cm3
V: 69 Å³/f.u.
space-group type: No. 191

Lattice parameters (Å, degrees): 4.044 4.432 4.432 120.00 90.00 90.00
Site moments in Bohr magnetons follow the coordinates.
Atoms (fractional coordinates):
Co1 0.500 0.500 0.000  1.83
Be1 0.000 0.000 0.000  -0.05
Co2 0.500 0.500 0.500  1.83
Co3 0.500 0.000 0.500  1.83
Co4 0.000 0.333 0.667  1.71
Co5 0.000 0.667 0.333  1.71

Entry from Alexandria: a PBEsol-optimized structure of BeCo2 (meta-GGA SCAN).

Output
calculated density: 7.690 g/cm3
V: 27 Å³/f.u.
electronic total energy: -13.075 eV/atom
space-group type: No. 140

Lattice parameters (Å, degrees): 4.171 4.182 4.182 75.60 60.08 60.08
Site moments in Bohr magnetons follow the coordinates.
Atoms (fractional coordinates):
Co1 0.656 0.188 0.500  1.59
Be1 0.250 0.000 0.000  -0.09
Co2 0.344 0.812 0.500  1.59
Be2 0.750 0.000 0.000  -0.09
Co3 0.844 0.500 0.812  1.59
Co4 0.156 0.500 0.188  1.59

Entry from Alexandria: a PBEsol-optimized structure of BeCo3 (meta-GGA SCAN).

Output
calculated density: 8.109 g/cm3
V: 38 Å³/f.u.
electronic total energy: -14.156 eV/atom
space-group type: No. 71

Lattice parameters (Å, degrees): 2.611 3.829 4.456 115.44 107.03 90.00
Site moments in Bohr magnetons follow the coordinates.
Atoms (fractional coordinates):
Co1 0.500 0.500 0.000  1.41
Co2 0.738 0.238 0.475  1.65
Co3 0.262 0.762 0.525  1.65
Be1 0.000 0.000 0.000  -0.07

Entry from Alexandria: a PBEsol-optimized structure of BeCo5 (meta-GGA SCAN).

Output
offset from the most stable computed form: 0.37 eV per formula unit
calculated density: 8.521 g/cm3
V: 59 Å³/f.u.
space-group type: No. 38

Lattice parameters (Å, degrees): 2.447 3.908 6.307 90.00 101.19 90.00
Site moments in Bohr magnetons follow the coordinates.
Atoms (fractional coordinates):
Co1 0.109 0.500 0.219  1.68
Be1 0.998 0.000 0.996  -0.08
Co2 0.778 0.500 0.557  1.74
Co3 0.336 0.000 0.672  1.63
Co4 0.664 0.000 0.328  1.67
Co5 0.448 0.500 0.895  1.67

Entry from Alexandria: a PBEsol-optimized structure of BeCo3 (meta-GGA SCAN).

Output
calculated density: 8.008 g/cm3
V: 39 Å³/f.u.
electronic total energy: -14.191 eV/atom
space-group type: No. 225

Lattice parameters (Å, degrees): 3.791 3.791 3.791 60.00 60.00 60.00
Site moments in Bohr magnetons follow the coordinates.
Atoms (fractional coordinates):
Co1 0.750 0.750 0.750  1.46
Co2 0.250 0.250 0.250  1.46
Be1 0.000 0.000 0.000  -0.04
Co3 0.500 0.500 0.500  2.04

Entry from Alexandria: a PBEsol-optimized structure of Be5Co (meta-GGA SCAN).

Output
calculated density: 3.575 g/cm3
V: 48 Å³/f.u.
electronic total energy: -6.651 eV/atom
space-group type: No. 65

Lattice parameters (Å, degrees): 2.699 3.439 5.377 90.00 104.51 90.00
Site moments in Bohr magnetons follow the coordinates.
Atoms (fractional coordinates):
Be1 0.167 0.000 0.335  -0.03
Be2 0.500 0.000 0.000  -0.01
Be3 0.334 0.500 0.668  0.02
Be4 0.666 0.500 0.332  0.02
Be5 0.833 0.000 0.665  -0.03
Co1 0.000 0.500 0.000  0.66

| no. | N(E_F) (states/eV/atom) |
| --- | --- |
| 1 | 0.808 |
| 2 | 0.734 |
| 3 | 0.606 |
| 4 | 0.742 |
| 5 | 0.359 |
| 6 | 0.213 |